Entry 1:
# MgBPt3 PBE relaxed
data_MgBPt3
_chemical_formula_sum 'Mg4 B4 Pt12'
_space_group_name_H-M_alt 'C 1 2/m 1'
_space_group_IT_number 12
_space_group_name_Hall '-C 2y'
_cell_length_a 9.7661
_cell_length_b 5.6221
_cell_length_c 6.3401
_cell_angle_alpha 90.00
_cell_angle_beta 120.66
_cell_angle_gamma 90.00
loop_
_atom_site_label
_atom_site_type_symbol
_atom_site_fract_x
_atom_site_fract_y
_atom_site_fract_z
Mg1 Mg 0.1024 0.0000 0.3175
B1 B 0.1680 0.5000 0.0069
Pt1 Pt 0.0850 0.5000 0.2659
Pt2 Pt 0.1645 0.2525 0.7353
# Spin magnetization (μB per cell): 0.00
# Theoretical density (g/cm³): 13.8
# E (eV per atom): -5.863

---

Entry 2:
# MgB3Pt PBE relaxed
data_MgB3Pt
_chemical_formula_sum 'Mg1 B3 Pt1'
_space_group_name_H-M_alt 'P m -3 m'
_space_group_IT_number 221
_space_group_name_Hall '-P 4 2 3'
_cell_length_a 4.1786
_cell_length_b 4.1786
_cell_length_c 4.1786
_cell_angle_alpha 90.00
_cell_angle_beta 90.00
_cell_angle_gamma 90.00
loop_
_atom_site_label
_atom_site_type_symbol
_atom_site_fract_x
_atom_site_fract_y
_atom_site_fract_z
Mg1 Mg 0.0000 0.0000 0.0000
B1 B 0.0000 0.0000 0.5000
Pt1 Pt 0.5000 0.5000 0.5000
# Spin magnetization (μB per cell): 0.00
# Theoretical density (g/cm³): 5.7
# E (eV per atom): -3.124

---

Entry 3:
# MgBPt2 PBE relaxed
data_MgBPt2
_chemical_formula_sum 'Mg4 B4 Pt8'
_space_group_name_H-M_alt 'F m -3 m'
_space_group_IT_number 225
_space_group_name_Hall '-F 4 2 3'
_cell_length_a 5.9729
_cell_length_b 5.9729
_cell_length_c 5.9729
_cell_angle_alpha 90.00
_cell_angle_beta 90.00
_cell_angle_gamma 90.00
loop_
_atom_site_label
_atom_site_type_symbol
_atom_site_fract_x
_atom_site_fract_y
_atom_site_fract_z
Mg1 Mg 0.0000 0.0000 0.0000
B1 B 0.0000 0.0000 0.5000
Pt1 Pt 0.2500 0.2500 0.2500
# Spin magnetization (μB per cell): 0.00
# Theoretical density (g/cm³): 13.3
# E (eV per atom): -5.038

---

Entry 4:
# MgBPt3 PBE relaxed
data_MgBPt3
_chemical_formula_sum 'Mg2 B2 Pt6'
_space_group_name_H-M_alt 'P 1 21/m 1'
_space_group_IT_number 11
_space_group_name_Hall '-P 2yb'
_cell_length_a 4.4865
_cell_length_b 5.6139
_cell_length_c 5.8321
_cell_angle_alpha 90.00
_cell_angle_beta 90.71
_cell_angle_gamma 90.00
loop_
_atom_site_label
_atom_site_type_symbol
_atom_site_fract_x
_atom_site_fract_y
_atom_site_fract_z
Mg1 Mg 0.2372 0.2500 0.1714
B1 B 0.1176 0.7500 0.4285
Pt1 Pt 0.2508 0.0061 0.6724
Pt2 Pt 0.2694 0.7500 0.1012
# Spin magnetization (μB per cell): 0.00
# Theoretical density (g/cm³): 14.0
# E (eV per atom): -5.757